Density functional theory data (PBE-GGA) for crystalline Tl5Hg4Au3 at its relaxed geometry.

a b c (Å): 5.7093 8.1563 7.9575
angles (deg): 108.78 89.99 110.49
Positions (direct):
Tl 0.6677 0.3354 0.8360
Tl 0.4154 0.8307 0.7827
Tl 0.5846 0.1693 0.2173
Tl 0.0000 0.0000 0.5000
Tl 0.3323 0.6646 0.1640
Hg 0.0874 0.1749 0.9622
Hg 0.9126 0.8251 0.0378
Hg 0.1953 0.3906 0.3864
Hg 0.8047 0.6094 0.6136
Au 0.2153 0.4306 0.7619
Au 0.7847 0.5694 0.2381
Au 0.5000 0.0000 0.5000

The crystal system is monoclinic. The calculation puts the total moment at 0.00 μB/atom. The value obtained for the formation energy from the elements is 3 kJ/mol of formula units. The total energy comes out at -1.903 eV/atom. The symmetry is C2/m (12). The value obtained for the calculated density is 12.3 g/cm3.